1.
Tb2NdTh: optimized geometry, PBE.

Calculated values
Electronic total energy = -0.39140 Ry per atom
Mass density = 8.760 Mg/m³
Calculated volume = 32.90 A^3/atom
Space-group type = R3m (160)
N(E_F) = 1.51 states/eV per atom
Spin magnetization = 0.00 μB/atom

Cell: 3.600 3.600 11.908 Å, 81.31 81.31 60.00°
Fractional positions:
Tb: 0.084 0.084 0.748
Tb: 0.249 0.249 0.253
Nd: 0.667 0.667 0.000
Th: 0.500 0.500 0.499

---

2.
TbNd2Th2: optimized geometry, PBE.

Calculated values
Electronic total energy = -0.42386 Ry per atom
Mass density = 9.078 Mg/m³
Calculated volume = 33.35 A^3/atom
Space-group type = R-3m (166)
N(E_F) = 1.49 states/eV per atom
Spin magnetization = 0.00 μB/atom

Cell: 3.618 3.618 14.858 Å, 83.01 83.01 60.00°
Fractional positions:
Tb: 0.000 0.000 0.000
Nd: 0.797 0.797 0.609
Nd: 0.203 0.203 0.391
Th: 0.399 0.399 0.804
Th: 0.601 0.601 0.196

---

3.
Tb3Nd5Th: optimized geometry, PBE.

Calculated values
Electronic total energy = -0.34641 Ry per atom
Mass density = 7.606 Mg/m³
Calculated volume = 34.69 A^3/atom
Space-group type = I4/mcm (140)
N(E_F) = 1.49 states/eV per atom
Spin magnetization = 0.00 μB/atom

Cell: 7.957 7.957 11.354 Å, 110.51 110.51 90.00°
Fractional positions:
Tb: 0.631 0.131 0.000
Tb: 0.369 0.869 0.000
Tb: 0.869 0.631 0.000
Tb: 0.131 0.369 0.000
Tb: 0.250 0.250 0.500
Tb: 0.750 0.750 0.500
Nd: 0.074 0.574 0.734
Nd: 0.660 0.160 0.734
Nd: 0.160 0.074 0.734
Nd: 0.574 0.660 0.734
Nd: 0.926 0.426 0.266
Nd: 0.340 0.840 0.266
Nd: 0.840 0.926 0.266
Nd: 0.426 0.340 0.266
Nd: 0.500 0.500 0.000
Nd: 0.000 0.000 0.000
Th: 0.750 0.250 0.500
Th: 0.250 0.750 0.500

---

4.
Tb8Nd3Th2: optimized geometry, PBE.

Calculated values
Electronic total energy = -0.36341 Ry per atom
Mass density = 8.297 Mg/m³
Calculated volume = 33.38 A^3/atom
Space-group type = P-1 (2)
N(E_F) = 1.48 states/eV per atom
Spin magnetization = 0.00 μB/atom

Cell: 14.375 9.995 16.240 Å, 67.12 106.40 155.72°
Fractional positions:
Tb: 0.489 0.410 0.115
Tb: 0.497 0.685 0.447
Tb: 0.932 0.982 0.791
Tb: 0.882 0.562 0.841
Tb: 0.584 0.160 0.237
Tb: 0.589 0.443 0.327
Tb: 0.082 0.878 0.430
Tb: 0.025 0.399 0.941
Tb: 0.975 0.601 0.059
Tb: 0.918 0.122 0.570
Tb: 0.068 0.018 0.209
Tb: 0.416 0.840 0.763
Tb: 0.118 0.438 0.159
Tb: 0.411 0.557 0.673
Tb: 0.503 0.315 0.553
Tb: 0.511 0.590 0.885
Nd: 0.564 0.775 0.237
Nd: 0.500 0.000 0.500
Nd: 0.941 0.409 0.683
Nd: 0.059 0.591 0.317
Nd: 0.000 0.000 0.000
Nd: 0.436 0.225 0.763
Th: 0.509 0.194 0.988
Th: 0.009 0.871 0.610
Th: 0.991 0.129 0.390
Th: 0.491 0.806 0.012

---

5.
Tb3NdTh2: optimized geometry, PBE.

Calculated values
Electronic total energy = -0.40754 Ry per atom
Mass density = 9.211 Mg/m³
Calculated volume = 32.60 A^3/atom
Space-group type = P2_1/m (11)
N(E_F) = 1.31 states/eV per atom
Spin magnetization = 0.00 μB/atom

Cell: 3.591 10.131 10.755 Å, 89.63 90.00 90.00°
Fractional positions:
Tb: 0.750 0.134 0.582
Tb: 0.250 0.866 0.418
Tb: 0.750 0.625 0.250
Tb: 0.250 0.375 0.750
Tb: 0.250 0.370 0.083
Tb: 0.750 0.630 0.917
Nd: 0.250 0.877 0.750
Nd: 0.750 0.123 0.250
Th: 0.250 0.381 0.419
Th: 0.750 0.619 0.581
Th: 0.750 0.124 0.920
Th: 0.250 0.876 0.080

---

6.
Tb8Nd3Th: optimized geometry, PBE.

Calculated values
Electronic total energy = -0.31424 Ry per atom
Mass density = 7.271 Mg/m³
Calculated volume = 36.85 A^3/atom
Space-group type = I-42m (121)
N(E_F) = 1.51 states/eV per atom
Spin magnetization = 0.00 μB/atom

Cell: 8.443 8.443 8.443 Å, 95.07 117.12 117.12°
Fractional positions:
Tb: 0.512 0.266 0.266
Tb: 0.488 0.754 0.754
Tb: 0.000 0.734 0.246
Tb: 0.000 0.246 0.734
Tb: 0.248 0.375 0.375
Tb: 0.752 0.127 0.127
Tb: 0.000 0.625 0.873
Tb: 0.000 0.873 0.625
Nd: 0.500 0.750 0.250
Nd: 0.500 0.250 0.750
Nd: 0.000 0.500 0.500
Th: 0.000 0.000 0.000